LiPmEr2Pd4: optimized geometry, PBE.

Results
For the calculated density, the calculation gives 9.33 g/cm3. Its spin magnetization is 0.000 μB per atom. The calculation puts the raw total energy at -5.3392 eV per atom. As for the symmetry: R-3m, No. 166. The calculation puts the formation energy at -74.20 kJ/mol of atoms.

a = 4.8517 Å, b = 4.8517 Å, c = 8.4385 Å
α = 73.29°, β = 73.29°, γ = 60.00°
Last column: nearest neighbours and their distance in Å.
Fractional coordinates of all 8 atoms:
Pd 0.3831 0.3831 0.8508  1 Li 2.79, 3 Er 2.99, 3 Pm 3.04
Pd 0.8774 0.8774 0.3679  4 Er 2.81-2.89, 1 Pm 2.93, 3 Li 2.99
Pm 0.0000 0.0000 0.0000  8 Pd 2.93-3.04
Er 0.2404 0.2404 0.2789  7 Pd 2.81-2.99
Pd 0.6169 0.6169 0.1492  1 Li 2.79, 3 Er 2.99, 3 Pm 3.04
Er 0.7596 0.7596 0.7211  7 Pd 2.81-2.99
Pd 0.1226 0.1226 0.6321  4 Er 2.81-2.89, 1 Pm 2.93, 3 Li 2.99
Li 0.5000 0.5000 0.5000  8 Pd 2.79-2.99